Ba3NiF12 GGA+U relaxed; DFT total energy = -68.97 eV per cell; total magnetization = 0.13 μB per atom
1.0
6.3998 3.3978 0.6689
-6.3998 3.3978 0.6689
0.0000 2.5463 7.2444
Ba Ni F
3 1 12
Cartesian
0.0000 1.2732 3.6222 Ba
-3.1999 1.6989 0.3345 Ba
3.1999 1.6989 0.3345 Ba
0.0000 0.0000 0.0000 Ni
1.3878 6.5446 6.7754 F
-1.3878 2.7974 1.8069 F
-2.6585 6.4287 5.2441 F
1.3878 2.7974 1.8069 F
2.6585 2.9132 3.3381 F
-1.3878 6.5446 6.7754 F
-4.9900 3.2562 1.9589 F
-2.6585 2.9132 3.3381 F
4.9900 6.0858 6.6233 F
2.6585 6.4287 5.2441 F
-4.9900 6.0858 6.6233 F
4.9900 3.2562 1.9589 F